This record from Alexandria describes crystalline Mo2RuBr at its relaxed geometry. The functional is PBE.

```
data_Mo2RuBr
_cell_length_a 3.027
_cell_length_b 4.494
_cell_length_c 4.687
_cell_angle_alpha 90.00
_cell_angle_beta 90.00
_cell_angle_gamma 90.00
_symmetry_space_group_name_H-M 'P m m m'
_symmetry_Int_Tables_number 47
loop_
_symmetry_equiv_pos_as_xyz
'x,y,z'
'-x,-y,-z'
'-x,-y,z'
'x,y,-z'
'x,-y,-z'
'-x,y,z'
'-x,y,-z'
'x,-y,z'
loop_
_atom_site_label
_atom_site_fract_x
_atom_site_fract_y
_atom_site_fract_z
_atom_site_occupancy
Mo1 0.000 0.000 0.000 1
Mo2 0.500 0.500 0.000 1
Ru1 0.000 0.500 0.500 1
Br1 0.500 0.000 0.500 1
```

Summary:
- energy above the lowest structure with this stoichiometry (eV/atom) = 0.387

***

This record from Alexandria describes crystalline Ac2TmSb3Rh4 at its relaxed geometry. The functional is PBE.

```
data_Ac2TmSb3Rh4
_cell_length_a 4.571
_cell_length_b 4.571
_cell_length_c 11.100
_cell_angle_alpha 90.00
_cell_angle_beta 90.00
_cell_angle_gamma 90.00
_symmetry_space_group_name_H-M 'P -4 m 2'
_symmetry_Int_Tables_number 115
loop_
_symmetry_equiv_pos_as_xyz
'x,y,z'
'y,-x,-z'
'-x,-y,z'
'-y,x,-z'
'-x,y,z'
'-y,-x,-z'
'x,-y,z'
'y,x,-z'
loop_
_atom_site_label
_atom_site_fract_x
_atom_site_fract_y
_atom_site_fract_z
_atom_site_occupancy
Ac1 0.000 0.500 0.236 1
Tm1 0.000 0.000 0.500 1
Sb1 0.000 0.500 0.876 1
Sb2 0.500 0.500 0.500 1
Rh1 0.000 0.000 0.000 1
Rh2 0.000 0.500 0.639 1
Rh3 0.500 0.500 0.000 1
```

***

| no. | N(E_F) (states/eV/atom) | E (eV/atom) |
| --- | --- | --- |
| 1 | 1.03 | -7.355 |
| 2 | 0.82 | -6.344 |